Entry 1:
DFT (PBE) results for a relaxed structure of CaSmAgPb.

Calculated values
Final energy in eV/atom: -3.782
Magnetic moment in μB/atom: 0.00

Lattice parameters (Å, degrees): 7.6146 7.6146 7.6146 90.00 90.00 90.00
With the nearest neighbours (Å) after each atom.
Space group F-43m (No. 216)
Asymmetric unit:
Ca: 0.0000 0.0000 0.0000  4 Ag 3.30, 4 Pb 3.30
Sm: 0.0000 0.0000 0.5000  4 Pb 3.30, 4 Ag 3.30
Ag: 0.2500 0.2500 0.2500  4 Ca 3.30, 4 Sm 3.30
Pb: 0.2500 0.2500 0.7500  4 Ca 3.30, 4 Sm 3.30

Entry 2:
DFT (PBE) results for a relaxed structure of K2Ga3AgAu12.

Calculated values
Final energy in eV/atom: -2.906
Magnetic moment in μB/atom: 0.00

Lattice parameters (Å, degrees): 8.8477 8.8477 20.0804 90.00 90.00 120.00
With the nearest neighbours (Å) after each atom.
Space group R-3m (No. 166, hexagonal axes)
Asymmetric unit:
K: 0.0000 0.0000 0.1146  6 Au 3.18-3.22
Ga: 0.0000 0.5000 0.0000  6 Au 2.51-2.54
Ag: 0.0000 0.0000 0.5000  6 Au 2.68
Au: 0.0016 0.5008 0.1249  1 Ga 2.51, 1 Ag 2.68
Au: 0.0186 0.5093 0.3599  2 Ga 2.54

Entry 3:
DFT (PBE) results for a relaxed structure of Li2InH6.

Calculated values
Final energy in eV/atom: -2.716
Magnetic moment in μB/atom: 0.00

Lattice parameters (Å, degrees): 6.7892 6.7892 6.7892 90.00 90.00 90.00
With the nearest neighbours (Å) after each atom.
Space group Fm-3m (No. 225)
Asymmetric unit:
Li: 0.2500 0.2500 0.2500  12 H 2.41
In: 0.0000 0.0000 0.0000  6 H 1.91
H: 0.0000 0.0000 0.2815  1 In 1.91, 4 H 2.10

Entry 4:
DFT (PBE) results for a relaxed structure of Sb2TeAuS.

Calculated values
Relative energy among the computed polymorphs in meV per atom: 0.0
Magnetic moment in μB/atom: 0.00

Lattice parameters (Å, degrees): 5.2341 5.2341 5.1454 90.00 90.00 90.00
With the nearest neighbours (Å) after each atom.
Space group P4/mmm (No. 123)
Asymmetric unit:
Sb: 0.0000 0.5000 0.0000  2 S 2.62
Te: 0.0000 0.0000 0.5000  2 S 2.57
Au: 0.5000 0.5000 0.5000  8 Sb 3.67, 4 Te 3.70
S: 0.0000 0.0000 0.0000  2 Te 2.57, 4 Sb 2.62

Entry 5:
DFT (PBE) results for a relaxed structure of CdSnAs.

Calculated values
Final energy in eV/atom: -3.212
Magnetic moment in μB/atom: 0.00

Lattice parameters (Å, degrees): 4.0640 4.0640 5.3716 90.00 90.00 120.00
With the nearest neighbours (Å) after each atom.
Space group P3m1 (No. 156)
Asymmetric unit:
Cd: 0.0000 0.0000 0.0000  3 As 2.91, 3 Sn 3.17
Sn: 0.3333 0.6667 0.6033  3 As 2.79
As: 0.6667 0.3333 0.3219  3 Sn 2.79, 3 Cd 2.91

Entry 6:
DFT (PBE) results for a relaxed structure of BaTaCd.

Calculated values
Relative energy among the computed polymorphs in meV per atom: 1104.5
Magnetic moment in μB/atom: 1.27

Lattice parameters (Å, degrees): 7.7961 7.7961 7.7961 90.00 90.00 90.00
With the nearest neighbours (Å) after each atom.
Space group F-43m (No. 216)
Asymmetric unit:
Ba: 0.0000 0.0000 0.0000  4 Ta 3.38, 4 Cd 3.38
Ta: 0.2500 0.2500 0.2500  4 Ba 3.38
Cd: 0.2500 0.2500 0.7500  4 Ba 3.38

Entry 7:
DFT (PBE) results for a relaxed structure of RbNdPb2.

Calculated values
Relative energy among the computed polymorphs in meV per atom: 0.0
Magnetic moment in μB/atom: 0.00

Lattice parameters (Å, degrees): 4.2720 4.2720 8.2936 90.00 90.00 90.00
With the nearest neighbours (Å) after each atom.
Space group P4/mmm (No. 123)
Asymmetric unit:
Rb: 0.0000 0.0000 0.0000  8 Pb 3.98, 2 Nd 4.15, 4 Rb 4.27
Nd: 0.0000 0.0000 0.5000  8 Pb 3.40
Pb: 0.5000 0.5000 0.3124  1 Pb 3.11, 4 Nd 3.40

Entry 8:
DFT (PBE) results for a relaxed structure of NaAcNbO5.

Calculated values
Final energy in eV/atom: -7.433
Magnetic moment in μB/atom: 0.13

Lattice parameters (Å, degrees): 7.3030 10.1708 8.7176 90.00 109.85 90.00
With the nearest neighbours (Å) after each atom.
Space group C2/c (No. 15)
Asymmetric unit:
Na: 0.0000 0.1604 0.2500  3 O 2.43-2.47
Ac: 0.0000 0.5000 0.0000  6 O 2.41-2.52
Nb: 0.0000 0.1849 0.7500  4 O 1.87-1.89
O: 0.0000 0.3988 0.2500  2 Ac 2.41, 1 Na 2.43
O: 0.1457 0.2986 0.6636  1 Nb 1.89
O: 0.1590 0.0752 0.9127  1 Nb 1.87

Entry 9:
DFT (PBE) results for a relaxed structure of Mg2MoIr.

Calculated values
Relative energy among the computed polymorphs in meV per atom: 0.0
Magnetic moment in μB/atom: 0.00

Lattice parameters (Å, degrees): 2.9589 2.9589 7.9487 90.00 90.00 90.00
With the nearest neighbours (Å) after each atom.
Space group P4mm (No. 99)
Asymmetric unit:
Mg: 0.0000 0.0000 0.0000  4 Mo 2.92, 8 Mg 2.96-3.24
Mg: 0.5000 0.5000 0.3116  4 Ir 2.76, 4 Mg 2.96
Mo: 0.5000 0.5000 0.7444  4 Ir 2.66, 4 Mg 2.92, 4 Mo 2.96
Ir: 0.0000 0.0000 0.5374  4 Mo 2.66, 4 Mg 2.76, 4 Ir 2.96

Entry 10:
DFT (PBE) results for a relaxed structure of Cs3Ho2TmS6.

Calculated values
Final energy in eV/atom: -5.243
Magnetic moment in μB/atom: 0.00

Lattice parameters (Å, degrees): 7.0605 12.2293 8.3938 90.00 106.28 90.00
With the nearest neighbours (Å) after each atom.
Space group C2/m (No. 12)
Asymmetric unit:
Cs: 0.0000 0.0000 0.0000  6 S 3.48-3.50
Cs: 0.0000 0.3329 0.0000  6 S 3.48-3.50
Ho: 0.0000 0.1666 0.5000  6 S 2.77
Tm: 0.0000 0.5000 0.5000  6 S 2.75
S: 0.2257 0.3344 0.6803  1 Tm 2.75, 2 Ho 2.77
S: 0.2290 0.0000 0.6805  1 Tm 2.75, 2 Ho 2.77

Entry 11:
DFT (PBE) results for a relaxed structure of TaTiN.

Calculated values
Relative energy among the computed polymorphs in meV per atom: 0.0
Magnetic moment in μB/atom: 0.00

Lattice parameters (Å, degrees): 3.0459 3.0459 4.8487 90.00 90.00 120.00
With the nearest neighbours (Å) after each atom.
Space group P3m1 (No. 156)
Asymmetric unit:
Ta: 0.0000 0.0000 0.0000  3 N 2.18
Ti: 0.6667 0.3333 0.5070  3 N 2.11
N: 0.3333 0.6667 0.2662  3 Ti 2.11, 3 Ta 2.18

Entry 12:
DFT (PBE) results for a relaxed structure of LaDyHoSe3.

Calculated values
Final energy in eV/atom: -5.766
Magnetic moment in μB/atom: 0.00

Lattice parameters (Å, degrees): 7.9976 4.1163 10.2992 90.00 103.89 90.00
With the nearest neighbours (Å) after each atom.
Space group P2_1/m (No. 11)
Asymmetric unit:
La: 0.1879 0.2500 0.2130  7 Se 3.01-3.26
Dy: 0.3320 0.7500 0.9096  5 Se 2.81-2.89
Ho: 0.1687 0.2500 0.6214  5 Se 2.81-2.97
Se: 0.0883 0.2500 0.8871  2 Dy 2.81, 1 Ho 2.96, 2 La 3.01
Se: 0.2069 0.7500 0.4448  3 Ho 2.81-2.92, 2 La 3.13
Se: 0.4824 0.7500 0.1947  3 Dy 2.89, 1 Ho 2.97, 2 La 3.17